Density functional theory data (GGA-PBE) for crystalline Be3NiPb at its relaxed geometry.

Energy of formation: 0.425 eV per atom
Density of states at the Fermi level: 0.391 states/eV/atom

The structure in CIF format:
```
data_Be3NiPb
_chemical_formula_sum 'Be3 Ni1 Pb1'
_cell_length_a 4.1825
_cell_length_b 4.1825
_cell_length_c 4.1825
_cell_angle_alpha 90.00
_cell_angle_beta 90.00
_cell_angle_gamma 90.00
_space_group_name_H-M_alt 'P m -3 m'
_space_group_IT_number 221
_space_group_name_Hall '-P 4 2 3'
loop_
_atom_site_label
_atom_site_type_symbol
_atom_site_fract_x
_atom_site_fract_y
_atom_site_fract_z
Be1 Be 0.0000 0.0000 0.5000
Ni1 Ni 0.0000 0.0000 0.0000
Pb1 Pb 0.5000 0.5000 0.5000
```